(1)
VASP calculation (meta-GGA SCAN) on a crystal of BeRhCl2 relaxed with PBEsol.

Computed properties:
Relative energy among the computed polymorphs, meV/atom: 0
Energy relative to the elements, uncorrected, meV per atom: -305
Total energy, eV per atom: -13.82

a b c (Å): 3.071 3.071 7.283
angles (deg): 77.83 77.83 60.00
Site moments in Bohr magnetons follow the coordinates.
Sites, in units of the cell vectors:
Be  0.500  0.500  0.500  0.00
Rh  0.000  0.000  0.000  0.60
Cl  0.894  0.894  0.319  0.01
Cl  0.106  0.106  0.681  0.01

---

(2)
VASP calculation (meta-GGA SCAN) on a crystal of SiNiI3 relaxed with PBEsol.

Computed properties:
Energy relative to the elements, uncorrected, meV per atom: 830
Total energy, eV per atom: -26.45

a b c (Å): 5.434 5.434 5.434
angles (deg): 90.00 90.00 90.00
Site moments in Bohr magnetons follow the coordinates.
Sites, in units of the cell vectors:
I  0.000  0.500  0.000  0.00
I  0.000  0.000  0.500  0.00
I  0.500  0.000  0.000  0.00
Ni  0.500  0.500  0.500  1.01
Si  0.000  0.000  0.000  0.00

---

(3)
VASP calculation (meta-GGA SCAN) on a crystal of La2Ru relaxed with PBEsol.

Computed properties:
Total energy, eV per atom: -40.63
ΔH_f (0 K), meV/atom: -288

a b c (Å): 6.977 6.977 6.977
angles (deg): 90.00 90.00 90.00
Sites, in units of the cell vectors:
La  0.166  0.666  0.834
La  0.166  0.834  0.334
La  0.334  0.166  0.834
La  0.334  0.334  0.334
La  0.666  0.666  0.666
La  0.666  0.834  0.166
La  0.834  0.166  0.666
La  0.834  0.334  0.166
Ru  0.000  0.000  0.000
Ru  0.000  0.500  0.500
Ru  0.500  0.000  0.500
Ru  0.500  0.500  0.000

---

(4)
VASP calculation (meta-GGA SCAN) on a crystal of YPbS2 relaxed with PBEsol.

Computed properties:
Energy relative to the elements, uncorrected, meV per atom: -675
Total energy, eV per atom: -31.40

a b c (Å): 4.157 4.157 8.555
angles (deg): 75.94 75.94 60.00
Site moments in Bohr magnetons follow the coordinates.
Sites, in units of the cell vectors:
Pb  0.500  0.500  0.500  0.00
Y  0.000  0.000  0.000  0.20
S  0.898  0.898  0.305  0.00
S  0.102  0.102  0.695  0.00

---

(5)
VASP calculation (meta-GGA SCAN) on a crystal of Ta7BiO19 relaxed with PBEsol.

Computed properties:
Relative energy among the computed polymorphs, meV/atom: 0
Energy relative to the elements, uncorrected, meV per atom: -2894
Total energy, eV per atom: -27.45

a b c (Å): 6.212 6.212 20.084
angles (deg): 90.00 90.00 120.00
Sites, in units of the cell vectors:
Ta  0.333  0.667  0.000
Ta  0.333  0.667  0.500
Ta  0.667  0.695  0.156
Ta  0.028  0.333  0.156
Ta  0.305  0.972  0.156
Ta  0.667  0.695  0.344
Ta  0.028  0.333  0.344
Ta  0.305  0.972  0.344
Ta  0.667  0.972  0.656
Ta  0.028  0.695  0.656
Ta  0.305  0.333  0.656
Ta  0.667  0.972  0.844
Ta  0.028  0.695  0.844
Ta  0.305  0.333  0.844
Bi  0.000  0.000  0.000
Bi  0.000  0.000  0.500
O  0.666  0.086  0.154
O  0.419  0.334  0.154
O  0.914  0.581  0.154
O  0.666  0.086  0.346
O  0.419  0.334  0.346
O  0.914  0.581  0.346
O  0.666  0.581  0.654
O  0.419  0.086  0.654
O  0.914  0.334  0.654
O  0.666  0.581  0.846
O  0.419  0.086  0.846
O  0.914  0.334  0.846
O  0.333  0.667  0.168
O  0.333  0.667  0.332
O  0.333  0.667  0.668
O  0.333  0.667  0.832
O  0.000  0.000  0.133
O  0.000  0.000  0.367
O  0.000  0.000  0.633
O  0.000  0.000  0.867
O  0.711  0.754  0.250
O  0.043  0.289  0.250
O  0.246  0.957  0.250
O  0.711  0.957  0.750
O  0.043  0.754  0.750
O  0.246  0.289  0.750
O  0.618  0.717  0.057
O  0.099  0.382  0.057
O  0.283  0.901  0.057
O  0.618  0.717  0.443
O  0.099  0.382  0.443
O  0.283  0.901  0.443
O  0.618  0.901  0.557
O  0.099  0.717  0.557
O  0.283  0.382  0.557
O  0.618  0.901  0.943
O  0.099  0.717  0.943
O  0.283  0.382  0.943

---

(6)
VASP calculation (meta-GGA SCAN) on a crystal of SrIn3Ge relaxed with PBEsol.

Computed properties:
Total energy, eV per atom: -28.29
ΔH_f (0 K), meV/atom: 15

a b c (Å): 5.356 5.356 5.356
angles (deg): 90.00 90.00 90.00
Sites, in units of the cell vectors:
Sr  0.500  0.500  0.500
Ge  0.000  0.000  0.000
In  0.000  0.500  0.000
In  0.000  0.000  0.500
In  0.500  0.000  0.000

---

(7)
VASP calculation (meta-GGA SCAN) on a crystal of Zr4Ir2N relaxed with PBEsol.

Computed properties:
Energy relative to the elements, uncorrected, meV per atom: -1305
Total energy, eV per atom: -40.49

a b c (Å): 8.714 8.714 8.714
angles (deg): 60.00 60.00 60.00
Sites, in units of the cell vectors:
Zr  0.125  0.125  0.125
Zr  0.125  0.125  0.625
Zr  0.125  0.625  0.125
Zr  0.625  0.125  0.125
Zr  0.684  0.684  0.316
Zr  0.316  0.316  0.684
Zr  0.684  0.316  0.684
Zr  0.316  0.684  0.316
Zr  0.684  0.316  0.316
Zr  0.316  0.684  0.684
Zr  0.566  0.566  0.934
Zr  0.934  0.934  0.566
Zr  0.566  0.934  0.566
Zr  0.934  0.566  0.934
Zr  0.566  0.934  0.934
Zr  0.934  0.566  0.566
Ir  0.909  0.909  0.909
Ir  0.909  0.909  0.272
Ir  0.909  0.272  0.909
Ir  0.272  0.909  0.909
Ir  0.341  0.341  0.341
Ir  0.341  0.341  0.978
Ir  0.341  0.978  0.341
Ir  0.978  0.341  0.341
N  0.625  0.625  0.625
N  0.625  0.625  0.125
N  0.625  0.125  0.625
N  0.125  0.625  0.625

---

(8)
VASP calculation (meta-GGA SCAN) on a crystal of Pb2C relaxed with PBEsol.

Computed properties:
Relative energy among the computed polymorphs, meV/atom: 0
Total energy, eV per atom: -52.42
ΔH_f (0 K), meV/atom: 1464

a b c (Å): 3.467 6.112 7.037
angles (deg): 115.74 90.00 90.00
Sites, in units of the cell vectors:
C  0.000  0.364  0.727
C  0.000  0.636  0.273
Pb  0.000  0.000  0.000
Pb  0.500  0.500  0.000
Pb  0.500  0.235  0.469
Pb  0.500  0.765  0.531

---

(9)
VASP calculation (meta-GGA SCAN) on a crystal of Zr5Ge3 relaxed with PBEsol.

Computed properties:
Total energy, eV per atom: -27.24
ΔH_f (0 K), meV/atom: -892

a b c (Å): 5.555 8.007 8.007
angles (deg): 120.00 90.00 90.00
Sites, in units of the cell vectors:
Zr  0.750  0.253  0.000
Zr  0.250  0.747  0.000
Zr  0.250  0.253  0.253
Zr  0.750  0.000  0.253
Zr  0.750  0.747  0.747
Zr  0.250  0.000  0.747
Zr  0.000  0.333  0.667
Zr  0.500  0.667  0.333
Zr  0.000  0.667  0.333
Zr  0.500  0.333  0.667
Ge  0.750  0.000  0.611
Ge  0.250  0.611  0.611
Ge  0.250  0.389  0.000
Ge  0.750  0.611  0.000
Ge  0.750  0.389  0.389
Ge  0.250  0.000  0.389

---

(10)
VASP calculation (meta-GGA SCAN) on a crystal of Ru2RhCl relaxed with PBEsol.

Computed properties:
Relative energy among the computed polymorphs, meV/atom: 0
Energy relative to the elements, uncorrected, meV per atom: 881
Total energy, eV per atom: -26.97

a b c (Å): 2.728 4.514 4.525
angles (deg): 90.00 90.00 90.00
Sites, in units of the cell vectors:
Cl  0.500  0.000  0.500
Rh  0.000  0.500  0.500
Ru  0.000  0.000  0.000
Ru  0.500  0.500  0.000

---

(11)
VASP calculation (meta-GGA SCAN) on a crystal of TcAs2Pt relaxed with PBEsol.

Computed properties:
Relative energy among the computed polymorphs, meV/atom: 146
Total energy, eV per atom: -36.29
ΔH_f (0 K), meV/atom: 120

a b c (Å): 4.413 4.413 4.413
angles (deg): 60.00 60.00 60.00
Site moments in Bohr magnetons follow the coordinates.
Sites, in units of the cell vectors:
As  0.250  0.250  0.250  0.03
As  0.750  0.750  0.750  0.03
Tc  0.500  0.500  0.500  1.40
Pt  0.000  0.000  0.000  0.26

---

(12)
VASP calculation (meta-GGA SCAN) on a crystal of In2AgHg relaxed with PBEsol.

Computed properties:
Total energy, eV per atom: -41.54
ΔH_f (0 K), meV/atom: 38

a b c (Å): 3.703 4.576 5.546
angles (deg): 90.00 108.95 90.00
Sites, in units of the cell vectors:
Hg  0.458  0.500  0.789
Ag  0.288  0.000  0.454
In  0.023  0.000  0.924
In  0.731  0.500  0.333

---

(13)
VASP calculation (meta-GGA SCAN) on a crystal of Li2LaCo relaxed with PBEsol.

Computed properties:
Relative energy among the computed polymorphs, meV/atom: 160
Total energy, eV per atom: -15.88
ΔH_f (0 K), meV/atom: 419

a b c (Å): 2.971 5.042 5.284
angles (deg): 118.50 90.00 90.00
Site moments in Bohr magnetons follow the coordinates.
Sites, in units of the cell vectors:
Co  0.500  0.000  0.000  -1.15
La  0.500  0.500  0.000  0.14
Li  0.000  0.500  0.500  0.00
Li  0.000  0.000  0.500  0.00

---

(14)
VASP calculation (meta-GGA SCAN) on a crystal of Y2SbOs relaxed with PBEsol.

Computed properties:
Energy relative to the elements, uncorrected, meV per atom: -419
Total energy, eV per atom: -41.63

a b c (Å): 4.690 5.160 4.690
angles (deg): 62.97 90.00 117.03
Sites, in units of the cell vectors:
Os  0.500  0.000  0.500
Sb  0.000  0.000  0.000
Y  0.250  0.500  0.250
Y  0.750  0.500  0.750

---

(15)
VASP calculation (meta-GGA SCAN) on a crystal of DyFe4Si2 relaxed with PBEsol.

Computed properties:
Energy relative to the elements, uncorrected, meV per atom: -359
Total energy, eV per atom: -20.41

a b c (Å): 3.678 6.987 6.987
angles (deg): 90.00 90.00 90.00
Site moments in Bohr magnetons follow the coordinates.
Sites, in units of the cell vectors:
Dy  0.500  0.500  0.500  -0.28
Dy  0.000  0.000  0.000  -0.28
Fe  0.500  0.646  0.916  2.10
Fe  0.500  0.354  0.084  2.10
Fe  0.000  0.146  0.584  2.10
Fe  0.000  0.854  0.416  2.10
Fe  0.500  0.916  0.646  2.10
Fe  0.500  0.084  0.354  2.10
Fe  0.000  0.584  0.146  2.10
Fe  0.000  0.416  0.854  2.10
Si  0.500  0.781  0.219  -0.12
Si  0.500  0.219  0.781  -0.12
Si  0.000  0.281  0.281  -0.12
Si  0.000  0.719  0.719  -0.12

---

(16)
VASP calculation (meta-GGA SCAN) on a crystal of CuPtAu2 relaxed with PBEsol.

Computed properties:
Relative energy among the computed polymorphs, meV/atom: 46
Total energy, eV per atom: -55.94
ΔH_f (0 K), meV/atom: -9

a b c (Å): 2.950 4.553 4.553
angles (deg): 90.00 90.00 90.00
Sites, in units of the cell vectors:
Au  0.000  0.000  0.500
Au  0.000  0.500  0.000
Cu  0.500  0.500  0.500
Pt  0.500  0.000  0.000

---

(17)
VASP calculation (meta-GGA SCAN) on a crystal of RbHgI3 relaxed with PBEsol.

Computed properties:
Energy relative to the elements, uncorrected, meV per atom: -758
Total energy, eV per atom: -40.58

a b c (Å): 5.899 5.899 5.899
angles (deg): 90.00 90.00 90.00
Sites, in units of the cell vectors:
I  0.000  0.500  0.000
I  0.000  0.000  0.500
I  0.500  0.000  0.000
Hg  0.000  0.000  0.000
Rb  0.500  0.500  0.500

---

(18)
VASP calculation (meta-GGA SCAN) on a crystal of Sc3Ag relaxed with PBEsol.

Computed properties:
Relative energy among the computed polymorphs, meV/atom: 233
Total energy, eV per atom: -18.49
ΔH_f (0 K), meV/atom: 27

a b c (Å): 3.068 5.718 5.718
angles (deg): 116.87 100.30 100.30
Sites, in units of the cell vectors:
Ag  0.000  0.000  0.000
Sc  0.000  0.500  0.500
Sc  0.500  0.000  0.500
Sc  0.500  0.500  0.000

---

(19)
VASP calculation (meta-GGA SCAN) on a crystal of BaNaNb3 relaxed with PBEsol.

Computed properties:
Total energy, eV per atom: -26.51
ΔH_f (0 K), meV/atom: 2123

a b c (Å): 4.970 4.970 4.970
angles (deg): 90.00 90.00 90.00
Site moments in Bohr magnetons follow the coordinates.
Sites, in units of the cell vectors:
Na  0.000  0.000  0.000  0.00
Nb  0.000  0.500  0.000  0.23
Nb  0.000  0.000  0.500  0.23
Nb  0.500  0.000  0.000  0.23
Ba  0.500  0.500  0.500  0.07

---

(20)
VASP calculation (meta-GGA SCAN) on a crystal of SrIn2Hg2 relaxed with PBEsol.

Computed properties:
Total energy, eV per atom: -45.50
ΔH_f (0 K), meV/atom: -423

a b c (Å): 4.812 4.812 6.746
angles (deg): 110.90 110.90 90.00
Sites, in units of the cell vectors:
Sr  0.000  0.000  0.000
Hg  0.250  0.750  0.500
Hg  0.750  0.250  0.500
In  0.381  0.381  0.763
In  0.619  0.619  0.237

---

(21)
VASP calculation (meta-GGA SCAN) on a crystal of Li2MnFeB2O6 relaxed with PBEsol.

Computed properties:
Relative energy among the computed polymorphs, meV/atom: 0
Energy relative to the elements, uncorrected, meV per atom: -2275
Total energy, eV per atom: -10.06

a b c (Å): 5.174 5.174 9.970
angles (deg): 90.08 90.08 119.89
Site moments in Bohr magnetons follow the coordinates.
Sites, in units of the cell vectors:
Li  0.672  0.658  0.665  0.00
Li  0.658  0.672  0.165  0.00
Li  0.346  0.335  0.411  0.00
Li  0.335  0.346  0.911  0.00
Mn  0.010  0.672  0.384  4.50
Mn  0.672  0.010  0.884  4.50
Fe  0.321  0.002  0.133  3.62
Fe  0.002  0.321  0.633  3.62
B  0.999  0.333  0.128  0.02
B  0.333  0.999  0.628  0.02
B  0.672  0.002  0.376  0.02
B  0.002  0.672  0.876  0.02
O  0.936  0.250  0.416  0.07
O  0.250  0.936  0.916  0.07
O  0.740  0.065  0.103  0.08
O  0.065  0.740  0.603  0.08
O  0.986  0.587  0.160  0.08
O  0.587  0.986  0.660  0.08
O  0.424  0.032  0.347  0.08
O  0.032  0.424  0.847  0.08
O  0.727  0.651  0.864  0.04
O  0.651  0.727  0.364  0.04
O  0.349  0.275  0.616  0.07
O  0.275  0.349  0.116  0.07

---

(22)
VASP calculation (meta-GGA SCAN) on a crystal of Co2Mo relaxed with PBEsol.

Computed properties:
Total energy, eV per atom: -23.04
ΔH_f (0 K), meV/atom: 126

a b c (Å): 4.614 4.614 4.614
angles (deg): 60.00 60.00 60.00
Site moments in Bohr magnetons follow the coordinates.
Sites, in units of the cell vectors:
Mo  0.750  0.750  0.750  0.18
Mo  0.500  0.500  0.500  0.18
Co  0.125  0.125  0.625  1.67
Co  0.125  0.625  0.125  1.67
Co  0.125  0.125  0.125  1.67
Co  0.625  0.125  0.125  1.67